# AgOsPt2 PBE-GGA optimized geometry
data_AgOsPt2
_cell_length_a 6.3253
_cell_length_b 6.3253
_cell_length_c 6.3253
_cell_angle_alpha 90.00
_cell_angle_beta 90.00
_cell_angle_gamma 90.00
_symmetry_space_group_name_H-M 'F -4 3 m'
_symmetry_Int_Tables_number 216
_symmetry_space_group_name_Hall 'F -4 2 3'
loop_
_atom_site_label
_atom_site_type_symbol
_atom_site_fract_x
_atom_site_fract_y
_atom_site_fract_z
Ag1 Ag 0.0000 0.0000 0.0000
Os1 Os 0.2500 0.2500 0.7500
Pt1 Pt 0.0000 0.0000 0.5000
Pt2 Pt 0.2500 0.2500 0.2500
# E ... -0.440 Ry/atom
# Total magnetization ... 4.63 Bohr magnetons per cell


# RbAgOsS3 PBE-GGA optimized geometry
data_RbAgOsS3
_cell_length_a 3.7415
_cell_length_b 15.0493
_cell_length_c 9.7379
_cell_angle_alpha 90.00
_cell_angle_beta 90.00
_cell_angle_gamma 90.00
_symmetry_space_group_name_H-M 'C m c m'
_symmetry_Int_Tables_number 63
_symmetry_space_group_name_Hall '-C 2c 2'
loop_
_atom_site_label
_atom_site_type_symbol
_atom_site_fract_x
_atom_site_fract_y
_atom_site_fract_z
Rb1 Rb 0.0000 0.2480 0.2500
Ag1 Ag 0.0000 0.0535 0.7500
Os1 Os 0.0000 0.5000 0.0000
S1 S 0.0000 0.1025 0.5158
S2 S 0.0000 0.4380 0.7500
# E ... -0.348 Ry/atom
# Total magnetization ... 3.72 Bohr magnetons per cell


# RbAgOsSe2S PBE-GGA optimized geometry
data_RbAgOsSe2S
_cell_length_a 3.9102
_cell_length_b 15.3461
_cell_length_c 9.8543
_cell_angle_alpha 90.00
_cell_angle_beta 90.00
_cell_angle_gamma 90.00
_symmetry_space_group_name_H-M 'C m c m'
_symmetry_Int_Tables_number 63
_symmetry_space_group_name_Hall '-C 2c 2'
loop_
_atom_site_label
_atom_site_type_symbol
_atom_site_fract_x
_atom_site_fract_y
_atom_site_fract_z
Rb1 Rb 0.0000 0.2445 0.2500
Ag1 Ag 0.0000 0.4571 0.7500
Os1 Os 0.0000 0.0000 0.0000
Se1 Se 0.0000 0.3921 0.5154
S1 S 0.0000 0.0607 0.7500
# E ... -0.329 Ry/atom
# Total magnetization ... 4.47 Bohr magnetons per cell


# RbAgTeOsS2 PBE-GGA optimized geometry
data_RbAgTeOsS2
_cell_length_a 3.7194
_cell_length_b 16.3714
_cell_length_c 10.1936
_cell_angle_alpha 90.00
_cell_angle_beta 90.00
_cell_angle_gamma 90.00
_symmetry_space_group_name_H-M 'C m c m'
_symmetry_Int_Tables_number 63
_symmetry_space_group_name_Hall '-C 2c 2'
loop_
_atom_site_label
_atom_site_type_symbol
_atom_site_fract_x
_atom_site_fract_y
_atom_site_fract_z
Rb1 Rb 0.0000 0.2330 0.2500
Ag1 Ag 0.0000 0.4435 0.7500
Te1 Te 0.0000 0.0748 0.7500
Os1 Os 0.0000 0.0000 0.0000
S1 S 0.0000 0.4054 0.5217
# E ... -0.335 Ry/atom
# Total magnetization ... 0.86 Bohr magnetons per cell


# RbAg3OsSe4 PBE-GGA optimized geometry
data_RbAg3OsSe4
_cell_length_a 6.5336
_cell_length_b 6.5336
_cell_length_c 6.5336
_cell_angle_alpha 90.00
_cell_angle_beta 90.00
_cell_angle_gamma 90.00
_symmetry_space_group_name_H-M 'P -4 3 m'
_symmetry_Int_Tables_number 215
_symmetry_space_group_name_Hall 'P -4 2 3'
loop_
_atom_site_label
_atom_site_type_symbol
_atom_site_fract_x
_atom_site_fract_y
_atom_site_fract_z
Rb1 Rb 0.0000 0.0000 0.0000
Ag1 Ag 0.0000 0.5000 0.5000
Os1 Os 0.5000 0.5000 0.5000
Se1 Se 0.2886 0.2886 0.2886
# E ... -0.289 Ry/atom
# Total magnetization ... 0.00 Bohr magnetons per cell


# RbAgOsSe3 PBE-GGA optimized geometry
data_RbAgOsSe3
_cell_length_a 3.8755
_cell_length_b 15.5935
_cell_length_c 10.0336
_cell_angle_alpha 90.00
_cell_angle_beta 90.00
_cell_angle_gamma 90.00
_symmetry_space_group_name_H-M 'C m c m'
_symmetry_Int_Tables_number 63
_symmetry_space_group_name_Hall '-C 2c 2'
loop_
_atom_site_label
_atom_site_type_symbol
_atom_site_fract_x
_atom_site_fract_y
_atom_site_fract_z
Rb1 Rb 0.0000 0.2404 0.2500
Ag1 Ag 0.0000 0.4512 0.7500
Os1 Os 0.0000 0.0000 0.0000
Se1 Se 0.0000 0.0673 0.7500
Se2 Se 0.0000 0.3936 0.5154
# E ... -0.323 Ry/atom
# Total magnetization ... 0.13 Bohr magnetons per cell


# RbAgTe2OsSe PBE-GGA optimized geometry
data_RbAgTe2OsSe
_cell_length_a 4.0694
_cell_length_b 16.3484
_cell_length_c 10.2812
_cell_angle_alpha 90.00
_cell_angle_beta 90.00
_cell_angle_gamma 90.00
_symmetry_space_group_name_H-M 'C m c m'
_symmetry_Int_Tables_number 63
_symmetry_space_group_name_Hall '-C 2c 2'
loop_
_atom_site_label
_atom_site_type_symbol
_atom_site_fract_x
_atom_site_fract_y
_atom_site_fract_z
Rb1 Rb 0.0000 0.2388 0.2500
Ag1 Ag 0.0000 0.4579 0.7500
Te1 Te 0.0000 0.3906 0.5135
Os1 Os 0.0000 0.0000 0.0000
Se1 Se 0.0000 0.0622 0.7500
# E ... -0.308 Ry/atom
# Total magnetization ... 0.01 Bohr magnetons per cell


# Re2AgOs PBE-GGA optimized geometry
data_Re2AgOs
_cell_length_a 6.2568
_cell_length_b 6.2568
_cell_length_c 6.2568
_cell_angle_alpha 90.00
_cell_angle_beta 90.00
_cell_angle_gamma 90.00
_symmetry_space_group_name_H-M 'F -4 3 m'
_symmetry_Int_Tables_number 216
_symmetry_space_group_name_Hall 'F -4 2 3'
loop_
_atom_site_label
_atom_site_type_symbol
_atom_site_fract_x
_atom_site_fract_y
_atom_site_fract_z
Re1 Re 0.0000 0.0000 0.0000
Re2 Re 0.2500 0.2500 0.2500
Ag1 Ag 0.2500 0.2500 0.7500
Os1 Os 0.0000 0.0000 0.5000
# E ... -0.661 Ry/atom
# Total magnetization ... 0.02 Bohr magnetons per cell


# ReAg2OsS6 PBE-GGA optimized geometry
data_ReAg2OsS6
_cell_length_a 9.3200
_cell_length_b 9.3200
_cell_length_c 9.3200
_cell_angle_alpha 90.00
_cell_angle_beta 90.00
_cell_angle_gamma 90.00
_symmetry_space_group_name_H-M 'F m -3 m'
_symmetry_Int_Tables_number 225
_symmetry_space_group_name_Hall '-F 4 2 3'
loop_
_atom_site_label
_atom_site_type_symbol
_atom_site_fract_x
_atom_site_fract_y
_atom_site_fract_z
Re1 Re 0.0000 0.0000 0.0000
Ag1 Ag 0.2500 0.2500 0.2500
Os1 Os 0.0000 0.0000 0.5000
S1 S 0.0000 0.0000 0.2502
# E ... -0.360 Ry/atom
# Total magnetization ... 1.45 Bohr magnetons per cell


# Ag3OsS4 PBE-GGA optimized geometry
data_Ag3OsS4
_cell_length_a 5.7874
_cell_length_b 5.7874
_cell_length_c 10.8757
_cell_angle_alpha 90.00
_cell_angle_beta 90.00
_cell_angle_gamma 90.00
_symmetry_space_group_name_H-M 'I -4 2 m'
_symmetry_Int_Tables_number 121
_symmetry_space_group_name_Hall 'I -4 2'
loop_
_atom_site_label
_atom_site_type_symbol
_atom_site_fract_x
_atom_site_fract_y
_atom_site_fract_z
Ag1 Ag 0.0000 0.0000 0.0000
Ag2 Ag 0.0000 0.5000 0.2500
Os1 Os 0.0000 0.0000 0.5000
S1 S 0.2248 0.2248 0.3864
# E ... -0.333 Ry/atom
# Total magnetization ... 0.29 Bohr magnetons per cell


# AgOs3S5 PBE-GGA optimized geometry
data_AgOs3S5
_cell_length_a 5.6470
_cell_length_b 5.6470
_cell_length_c 6.5480
_cell_angle_alpha 90.00
_cell_angle_beta 90.00
_cell_angle_gamma 120.00
_symmetry_space_group_name_H-M 'P 6/m m m'
_symmetry_Int_Tables_number 191
_symmetry_space_group_name_Hall '-P 6 2'
loop_
_atom_site_label
_atom_site_type_symbol
_atom_site_fract_x
_atom_site_fract_y
_atom_site_fract_z
Ag1 Ag 0.0000 0.0000 0.0000
Os1 Os 0.0000 0.5000 0.5000
S1 S 0.0000 0.0000 0.5000
S2 S 0.3333 0.6667 0.2437
# E ... -0.445 Ry/atom
# Total magnetization ... 0.00 Bohr magnetons per cell


# Ag2OsS3 PBE-GGA optimized geometry
data_Ag2OsS3
_cell_length_a 6.8082
_cell_length_b 11.7368
_cell_length_c 6.8176
_cell_angle_alpha 90.00
_cell_angle_beta 108.02
_cell_angle_gamma 90.00
_symmetry_space_group_name_H-M 'C 1 c 1'
_symmetry_Int_Tables_number 9
loop_
_symmetry_equiv_pos_as_xyz
'x,y,z'
'x,-y,z+1/2'
'x+1/2,y+1/2,z'
'x+1/2,-y+1/2,z+1/2'
loop_
_atom_site_label
_atom_site_type_symbol
_atom_site_fract_x
_atom_site_fract_y
_atom_site_fract_z
Ag1 Ag 0.0000 0.0653 0.0000
Ag2 Ag 0.0267 0.2828 0.5020
Os1 Os 0.0084 0.4166 0.9492
S1 S 0.1166 0.4411 0.2921
S2 S 0.1309 0.2517 0.8801
S3 S 0.1643 0.1017 0.3783
# E ... -0.356 Ry/atom
# Total magnetization ... 0.01 Bohr magnetons per cell